Density functional theory data (PBE) for a geometry-optimized Li3Pr2Pt2 structure.

```
data_Li3Pr2Pt2
_chemical_formula_sum 'Li6 Pr4 Pt4'
_space_group_name_H-M_alt 'C 1 2/m 1'
_space_group_IT_number 12
_cell_length_a 10.385
_cell_length_b 4.235
_cell_length_c 7.474
_cell_angle_alpha 90.00
_cell_angle_beta 113.62
_cell_angle_gamma 90.00
loop_
_space_group_symop_operation_xyz
'x,y,z'
'-x,-y,-z'
'-x,y,-z'
'x,-y,z'
'x+1/2,y+1/2,z'
'-x+1/2,-y+1/2,-z'
'-x+1/2,y+1/2,-z'
'x+1/2,-y+1/2,z'
loop_
_atom_site_label
_atom_site_type_symbol
_atom_site_fract_x
_atom_site_fract_y
_atom_site_fract_z
Li1 Li 0.000 0.000 0.000
Li2 Li 0.153 0.000 0.433
Pr1 Pr 0.138 0.500 0.781
Pt1 Pt 0.154 0.500 0.191
```

**Energy relative to the elements**: -0.629 eV/atom
**Offset from the most stable computed form**: 0 meV/atom
**Size of the total moment**: 0.0 μB per formula unit
**Final energy**: -4.5405 eV/atom
**DOS at the Fermi energy**: 0.665 states/eV per atom



Density functional theory data (PBE) for a geometry-optimized NaCo2Os structure.

```
data_NaCo2Os
_chemical_formula_sum 'Na4 Co8 Os4'
_space_group_name_H-M_alt 'F m -3 m'
_space_group_IT_number 225
_space_group_name_Hall '-F 4 2 3'
_cell_length_a 5.972
_cell_length_b 5.972
_cell_length_c 5.972
_cell_angle_alpha 90.00
_cell_angle_beta 90.00
_cell_angle_gamma 90.00
loop_
_atom_site_label
_atom_site_type_symbol
_atom_site_fract_x
_atom_site_fract_y
_atom_site_fract_z
Na1 Na 0.000 0.000 0.000
Co1 Co 0.250 0.250 0.250
Os1 Os 0.000 0.000 0.500
```

**Energy relative to the elements**: 0.750 eV/atom
**Offset from the most stable computed form**: 0 meV/atom
**Size of the total moment**: 3.1 μB per formula unit
**Final energy**: -5.9400 eV/atom
**DOS at the Fermi energy**: 1.215 states/eV per atom



Density functional theory data (PBE) for a geometry-optimized LaAl4Pt2 structure.

```
data_LaAl4Pt2
_chemical_formula_sum 'La4 Al16 Pt8'
_space_group_name_H-M_alt 'P n m a'
_space_group_IT_number 62
_cell_length_a 17.567
_cell_length_b 4.353
_cell_length_c 6.731
_cell_angle_alpha 90.00
_cell_angle_beta 90.00
_cell_angle_gamma 90.00
loop_
_space_group_symop_operation_xyz
'x,y,z'
'-x,-y,-z'
'-x+1/2,-y,z+1/2'
'x+1/2,y,-z+1/2'
'x+1/2,-y+1/2,-z+1/2'
'-x+1/2,y+1/2,z+1/2'
'-x,y+1/2,-z'
'x,-y+1/2,z'
loop_
_atom_site_label
_atom_site_type_symbol
_atom_site_fract_x
_atom_site_fract_y
_atom_site_fract_z
La1 La 0.137 0.250 0.015
Al1 Al 0.035 0.750 0.824
Al2 Al 0.073 0.250 0.494
Al3 Al 0.186 0.750 0.331
Al4 Al 0.194 0.750 0.729
Pt1 Pt 0.037 0.750 0.255
Pt2 Pt 0.217 0.250 0.531
```

**Energy relative to the elements**: -0.959 eV/atom
**Size of the total moment**: 0.0 μB per formula unit
**Final energy**: -5.5274 eV/atom
**DOS at the Fermi energy**: 0.392 states/eV per atom



Density functional theory data (PBE) for a geometry-optimized Tl5IBr8 structure.

```
data_Tl5IBr8
_chemical_formula_sum 'Tl10 I2 Br16'
_space_group_name_H-M_alt 'I -4'
_space_group_IT_number 82
_cell_length_a 9.836
_cell_length_b 9.836
_cell_length_c 11.062
_cell_angle_alpha 90.00
_cell_angle_beta 90.00
_cell_angle_gamma 90.00
loop_
_space_group_symop_operation_xyz
'x,y,z'
'y,-x,-z'
'-x,-y,z'
'-y,x,-z'
'x+1/2,y+1/2,z+1/2'
'y+1/2,-x+1/2,-z+1/2'
'-x+1/2,-y+1/2,z+1/2'
'-y+1/2,x+1/2,-z+1/2'
loop_
_atom_site_label
_atom_site_type_symbol
_atom_site_fract_x
_atom_site_fract_y
_atom_site_fract_z
Tl1 Tl 0.000 0.000 0.000
Tl2 Tl 0.108 0.276 0.388
I1 I 0.000 0.500 0.750
Br1 Br 0.052 0.229 0.739
Br2 Br 0.079 0.306 0.101
```

**Size of the total moment**: 0.0 μB per formula unit
**Final energy**: -2.5175 eV/atom
**ΔE_f (raw)**: -606 meV per atom



Density functional theory data (PBE) for a geometry-optimized Pa2Co3CuH12 structure.

```
data_Pa2Co3CuH12
_chemical_formula_sum 'Pa6 Co9 Cu3 H36'
_space_group_name_H-M_alt 'R -3 m'
_space_group_IT_number 166
_space_group_name_Hall '-R 3 2"'
_cell_length_a 6.0040
_cell_length_b 6.0040
_cell_length_c 13.0779
_cell_angle_alpha 90.00
_cell_angle_beta 90.00
_cell_angle_gamma 120.00
loop_
_atom_site_label
_atom_site_type_symbol
_atom_site_fract_x
_atom_site_fract_y
_atom_site_fract_z
Pa1 Pa 0.0000 0.0000 0.1001
Co1 Co 0.0000 0.5000 0.0000
Cu1 Cu 0.0000 0.0000 0.5000
H1 H 0.0050 0.5025 0.1191
H2 H 0.0458 0.5229 0.3403
```

**Size of the total moment**: 1.4 μB per formula unit
**Final energy**: -4.7491 eV/atom
**DOS at the Fermi energy**: 0.633 states/eV per atom



Density functional theory data (PBE) for a geometry-optimized Er3ScO6 structure.

```
data_Er3ScO6
_chemical_formula_sum 'Er18 Sc6 O36'
_space_group_name_H-M_alt 'R -3'
_space_group_IT_number 148
_space_group_name_Hall '-R 3'
_cell_length_a 9.4144
_cell_length_b 9.4144
_cell_length_c 10.9467
_cell_angle_alpha 90.00
_cell_angle_beta 90.00
_cell_angle_gamma 120.00
loop_
_atom_site_label
_atom_site_type_symbol
_atom_site_fract_x
_atom_site_fract_y
_atom_site_fract_z
Er1 Er 0.0413 0.2669 0.2062
Sc1 Sc 0.0000 0.0000 0.0000
Sc2 Sc 0.0000 0.0000 0.5000
O1 O 0.0269 0.2109 0.4030
O2 O 0.0279 0.1861 0.8780
```

**Size of the total moment**: 0.0 μB per formula unit
**Final energy**: -8.5979 eV/atom
**DOS at the Fermi energy**: 0.000 states/eV per atom
**ΔE_f (raw)**: -3621 meV per atom



Density functional theory data (PBE) for a geometry-optimized Sr2CdCuO5 structure.

```
data_Sr2CdCuO5
_chemical_formula_sum 'Sr8 Cd4 Cu4 O20'
_space_group_name_H-M_alt 'C m c 21'
_space_group_IT_number 36
_cell_length_a 3.562
_cell_length_b 13.380
_cell_length_c 10.664
_cell_angle_alpha 90.00
_cell_angle_beta 90.00
_cell_angle_gamma 90.00
loop_
_space_group_symop_operation_xyz
'x,y,z'
'-x,-y,z+1/2'
'-x,y,z'
'x,-y,z+1/2'
'x+1/2,y+1/2,z'
'-x+1/2,-y+1/2,z+1/2'
'-x+1/2,y+1/2,z'
'x+1/2,-y+1/2,z+1/2'
loop_
_atom_site_label
_atom_site_type_symbol
_atom_site_fract_x
_atom_site_fract_y
_atom_site_fract_z
Sr1 Sr 0.000 0.098 0.000
Sr2 Sr 0.000 0.153 0.636
Cd1 Cd 0.000 0.200 0.342
Cu1 Cu 0.000 0.483 0.760
O1 O 0.000 0.029 0.314
O2 O 0.000 0.282 0.979
O3 O 0.000 0.346 0.698
O4 O 0.000 0.378 0.315
O5 O 0.000 0.475 0.079
```

**Size of the total moment**: 1.2 μB per formula unit
**Final energy**: -5.2133 eV/atom
**DOS at the Fermi energy**: 0.529 states/eV per atom
**ΔE_f (raw)**: -1528 meV per atom



Density functional theory data (PBE) for a geometry-optimized Tb4GeSbC structure.

```
data_Tb4GeSbC
_chemical_formula_sum 'Tb16 Ge4 Sb4 C4'
_space_group_name_H-M_alt 'C m c m'
_space_group_IT_number 63
_space_group_name_Hall '-C 2c 2'
_cell_length_a 6.758
_cell_length_b 15.498
_cell_length_c 6.767
_cell_angle_alpha 90.00
_cell_angle_beta 90.00
_cell_angle_gamma 90.00
loop_
_atom_site_label
_atom_site_type_symbol
_atom_site_fract_x
_atom_site_fract_y
_atom_site_fract_z
Tb1 Tb 0.000 0.083 0.250
Tb2 Tb 0.000 0.408 0.250
Tb3 Tb 0.250 0.250 0.000
Ge1 Ge 0.000 0.114 0.750
Sb1 Sb 0.000 0.393 0.750
C1 C 0.000 0.246 0.250
```

**Size of the total moment**: 0.0 μB per formula unit
**Final energy**: -5.9064 eV/atom
**DOS at the Fermi energy**: 0.499 states/eV per atom
**ΔE_f (raw)**: -694 meV per atom